1.
VASP calculation (meta-GGA SCAN) on a crystal of HfMgAs2Br relaxed with PBEsol.

## Properties
ΔE_f (raw) in eV/atom: -0.20
Total moment in μB per cell: 0.0
DOS(E_F) in states/eV/f.u.: 1.5

Lattice parameters (Å, degrees): 5.1295 5.1295 5.1320 90.00 90.00 90.00
Space group P4/mmm (No. 123)
Inequivalent atoms, fractional coordinates:
Hf 0.0000 0.0000 0.0000
Mg 0.5000 0.5000 0.5000
As 0.0000 0.5000 0.0000
Br 0.0000 0.0000 0.5000

=====

2.
VASP calculation (meta-GGA SCAN) on a crystal of K2MoCl5O relaxed with PBEsol.

## Properties
ΔE_f (raw) in eV/atom: -1.76
Total moment in μB per cell: 4.0

Lattice parameters (Å, degrees): 13.3590 9.7265 6.8730 90.00 90.00 90.00
Space group Pnma (No. 62)
Inequivalent atoms, fractional coordinates:
K 0.1449 0.0023 0.1768
Mo 0.0952 0.7500 0.6805
Cl 0.0011 0.7500 0.9762
Cl 0.1085 0.5064 0.7020
Cl 0.2222 0.7500 0.4355
Cl 0.2480 0.7500 0.9122
O 0.0017 0.2500 0.4712

=====

3.
VASP calculation (meta-GGA SCAN) on a crystal of MgBeSi4 relaxed with PBEsol.

## Properties
ΔE_f (raw) in eV/atom: 0.55
Total moment in μB per cell: 0.0
DOS(E_F) in states/eV/f.u.: 3.0

Lattice parameters (Å, degrees): 7.0752 7.0752 7.0752 90.00 90.00 90.00
Space group F-43m (No. 216)
Inequivalent atoms, fractional coordinates:
Mg 0.0000 0.0000 0.0000
Be 0.2500 0.2500 0.7500
Si 0.1245 0.1245 0.3755

=====

4.
VASP calculation (meta-GGA SCAN) on a crystal of CaInRh2 relaxed with PBEsol.

## Properties
Energy of formation in eV per formula unit: -1.841
Total moment in μB per cell: 0.0
DOS(E_F) in states/eV/f.u.: 1.6

Lattice parameters (Å, degrees): 4.5514 4.5514 3.2869 90.00 90.00 90.00
Space group P4/mmm (No. 123)
Inequivalent atoms, fractional coordinates:
Ca 0.0000 0.0000 0.0000
In 0.5000 0.5000 0.0000
Rh 0.0000 0.5000 0.5000

=====

5.
VASP calculation (meta-GGA SCAN) on a crystal of LiSi2Hg relaxed with PBEsol.

## Properties
ΔE_f (raw) in eV/atom: 0.22
Total moment in μB per cell: 0.0
DOS(E_F) in states/eV/f.u.: 1.3

Lattice parameters (Å, degrees): 3.7184 3.7184 9.4534 90.00 90.00 90.00
Space group I4/mmm (No. 139)
Inequivalent atoms, fractional coordinates:
Li 0.0000 0.0000 0.0000
Si 0.0000 0.5000 0.2500
Hg 0.0000 0.0000 0.5000

=====

6.
VASP calculation (meta-GGA SCAN) on a crystal of LuCrO3 relaxed with PBEsol.

## Properties
ΔE_f (raw) in eV/atom: -3.36
Total moment in μB per cell: 12.0
DOS(E_F) in states/eV/f.u.: 0.0

Lattice parameters (Å, degrees): 5.4790 7.3868 5.0932 90.00 90.00 90.00
Space group Pnma (No. 62)
Inequivalent atoms, fractional coordinates:
Lu 0.0767 0.2500 0.0237
Cr 0.0000 0.0000 0.5000
O 0.0450 0.7500 0.3775
O 0.1934 0.5611 0.8138

=====

7.
VASP calculation (meta-GGA SCAN) on a crystal of MnCd2Pt relaxed with PBEsol.

## Properties
Energy of formation in eV per formula unit: -1.255
Total moment in μB per cell: 4.2
DOS(E_F) in states/eV/f.u.: 1.7

Lattice parameters (Å, degrees): 2.9603 2.9603 7.7686 90.00 90.00 90.00
Space group P4mm (No. 99)
Inequivalent atoms, fractional coordinates:
Mn 0.0000 0.0000 0.0000
Cd 0.0000 0.0000 0.4549
Cd 0.5000 0.5000 0.7490
Pt 0.5000 0.5000 0.2018

=====

8.
VASP calculation (meta-GGA SCAN) on a crystal of KRb2AlF6 relaxed with PBEsol.

## Properties
ΔE_f (raw) in eV/atom: -3.42
Total moment in μB per cell: 0.0
DOS(E_F) in states/eV/f.u.: 0.0

Lattice parameters (Å, degrees): 6.1054 6.1054 8.6592 90.00 90.00 90.00
Space group I4/m (No. 87)
Inequivalent atoms, fractional coordinates:
K 0.0000 0.0000 0.0000
Rb 0.0000 0.5000 0.2500
Al 0.0000 0.0000 0.5000
F 0.0000 0.0000 0.2893
F 0.1927 0.7718 0.5000

=====

9.
VASP calculation (meta-GGA SCAN) on a crystal of Hg5Sb relaxed with PBEsol.

## Properties
Energy above the most stable polymorph in this dataset in meV/atom: 0
ΔE_f (raw) in eV/atom: 0.03
Total moment in μB per cell: 0.0
DOS(E_F) in states/eV/f.u.: 2.3

Lattice parameters (Å, degrees): 3.1825 16.1443 5.7993 90.00 90.00 90.00
Space group Cmmm (No. 65)
Inequivalent atoms, fractional coordinates:
Hg 0.0000 0.0000 0.0000
Hg 0.0000 0.3310 0.5000
Hg 0.0000 0.3331 0.0000
Sb 0.0000 0.0000 0.5000

=====

10.
VASP calculation (meta-GGA SCAN) on a crystal of LiMg2C2 relaxed with PBEsol.

## Properties
Energy of formation in eV per formula unit: 5.346
Total moment in μB per cell: 0.0
DOS(E_F) in states/eV/f.u.: 1.8

Lattice parameters (Å, degrees): 4.1338 4.1338 8.5822 90.00 90.00 90.00
Space group I4/mmm (No. 139)
Inequivalent atoms, fractional coordinates:
Li 0.0000 0.0000 0.0000
Mg 0.0000 0.0000 0.3227
C 0.0000 0.5000 0.2500

=====

11.
VASP calculation (meta-GGA SCAN) on a crystal of SrLaNi2 relaxed with PBEsol.

## Properties
Energy above the most stable polymorph in this dataset in meV/atom: 468
Energy of formation in eV per formula unit: 1.464
Total moment in μB per cell: 0.0
DOS(E_F) in states/eV/f.u.: 4.1

Lattice parameters (Å, degrees): 6.7398 6.7398 6.7398 90.00 90.00 90.00
Space group F-43m (No. 216)
Inequivalent atoms, fractional coordinates:
Sr 0.0000 0.0000 0.0000
La 0.2500 0.2500 0.2500
Ni 0.0000 0.0000 0.5000
Ni 0.2500 0.2500 0.7500

=====

12.
VASP calculation (meta-GGA SCAN) on a crystal of Ba3Zn6Si4TeO20 relaxed with PBEsol.

## Properties
ΔE_f (raw) in eV/atom: -2.45
Total moment in μB per cell: 0.0
DOS(E_F) in states/eV/f.u.: 0.0

Lattice parameters (Å, degrees): 15.9342 11.5235 5.1408 90.00 107.09 90.00
Space group C2/m (No. 12)
Inequivalent atoms, fractional coordinates:
Ba 0.0000 0.0000 0.0000
Ba 0.2131 0.5000 0.7503
Zn 0.0000 0.3458 0.5000
Zn 0.1438 0.2794 0.1721
Si 0.1497 0.1311 0.6569
Te 0.0000 0.5000 0.0000
O 0.0697 0.5000 0.3699
O 0.0718 0.3817 0.8929
O 0.0894 0.2263 0.4480
O 0.1090 0.0000 0.5328
O 0.1412 0.1354 0.9661
O 0.2488 0.3667 0.3439

=====

13.
VASP calculation (meta-GGA SCAN) on a crystal of Cs2AlInH6 relaxed with PBEsol.

## Properties
Total moment in μB per cell: 0.0
Raw total energy in eV per atom: -13.909

Lattice parameters (Å, degrees): 8.5633 8.5633 8.5633 90.00 90.00 90.00
Space group Fm-3m (No. 225)
Inequivalent atoms, fractional coordinates:
Cs 0.2500 0.2500 0.2500
Al 0.0000 0.0000 0.0000
In 0.0000 0.0000 0.5000
H 0.0000 0.0000 0.2092

=====

14.
VASP calculation (meta-GGA SCAN) on a crystal of LiSnH2Au relaxed with PBEsol.

## Properties
Total moment in μB per cell: 0.0
DOS(E_F) in states/eV/f.u.: 2.0
Raw total energy in eV per atom: -22.545

Lattice parameters (Å, degrees): 3.7095 3.7095 5.8283 90.00 90.00 90.00
Space group P4/mmm (No. 123)
Inequivalent atoms, fractional coordinates:
Li 0.0000 0.0000 0.0000
Sn 0.0000 0.0000 0.5000
H 0.0000 0.5000 0.5000
Au 0.5000 0.5000 0.0000

=====

15.
VASP calculation (meta-GGA SCAN) on a crystal of PbW2Cl relaxed with PBEsol.

## Properties
ΔE_f (raw) in eV/atom: 0.44
Total moment in μB per cell: 0.0
DOS(E_F) in states/eV/f.u.: 3.1

Lattice parameters (Å, degrees): 3.1136 3.1136 8.3481 90.00 90.00 90.00
Space group P4mm (No. 99)
Inequivalent atoms, fractional coordinates:
Pb 0.0000 0.0000 0.0000
W 0.0000 0.0000 0.4318
W 0.5000 0.5000 0.2606
Cl 0.5000 0.5000 0.6497

=====

16.
VASP calculation (meta-GGA SCAN) on a crystal of ZrPb2Au relaxed with PBEsol.

## Properties
Energy above the most stable polymorph in this dataset in meV/atom: 0
Energy of formation in eV per formula unit: -0.835
Total moment in μB per cell: 0.0
DOS(E_F) in states/eV/f.u.: 1.2

Lattice parameters (Å, degrees): 3.3394 5.1482 10.6808 90.00 90.00 90.00
Space group Imm2 (No. 44)
Inequivalent atoms, fractional coordinates:
Zr 0.0000 0.0000 0.0000
Pb 0.0000 0.0000 0.4611
Pb 0.0000 0.5000 0.2386
Au 0.0000 0.5000 0.7191

=====

17.
VASP calculation (meta-GGA SCAN) on a crystal of CaPbSe2 relaxed with PBEsol.

## Properties
ΔE_f (raw) in eV/atom: -1.40
Total moment in μB per cell: 0.0
DOS(E_F) in states/eV/f.u.: 0.0

Lattice parameters (Å, degrees): 4.2260 4.2260 20.9575 90.00 90.00 120.00
Space group R-3m (No. 166, hexagonal axes)
Inequivalent atoms, fractional coordinates:
Ca 0.0000 0.0000 0.0000
Pb 0.0000 0.0000 0.5000
Se 0.0000 0.0000 0.2545

=====

18.
VASP calculation (meta-GGA SCAN) on a crystal of Nb2AsPb relaxed with PBEsol.

## Properties
Energy of formation in eV per formula unit: 0.277
Total moment in μB per cell: 0.0
DOS(E_F) in states/eV/f.u.: 2.4

Lattice parameters (Å, degrees): 6.6451 6.6451 6.6451 90.00 90.00 90.00
Space group Fm-3m (No. 225)
Inequivalent atoms, fractional coordinates:
Nb 0.2500 0.2500 0.2500
As 0.0000 0.0000 0.0000
Pb 0.0000 0.0000 0.5000

=====

19.
VASP calculation (meta-GGA SCAN) on a crystal of CsCu2I3 relaxed with PBEsol.

## Properties
ΔE_f (raw) in eV/atom: -0.67
Total moment in μB per cell: 0.0
DOS(E_F) in states/eV/f.u.: 0.0

Lattice parameters (Å, degrees): 10.0212 13.0009 6.0869 90.00 90.00 90.00
Space group Cmcm (No. 63)
Inequivalent atoms, fractional coordinates:
Cs 0.0000 0.1613 0.2500
Cu 0.1308 0.5000 0.0000
I 0.0000 0.3705 0.7500
I 0.2220 0.1166 0.7500

=====

20.
VASP calculation (meta-GGA SCAN) on a crystal of KTlTc2 relaxed with PBEsol.

## Properties
Energy above the most stable polymorph in this dataset in meV/atom: 56
Energy of formation in eV per formula unit: 3.355
Total moment in μB per cell: 0.0
DOS(E_F) in states/eV/f.u.: 3.9

Lattice parameters (Å, degrees): 3.4605 5.1555 6.2537 90.00 98.34 90.00
Space group P2/m (No. 10)
Inequivalent atoms, fractional coordinates:
K 0.0000 0.0000 0.0000
Tl 0.5000 0.0000 0.5000
Tc 0.2779 0.5000 0.6148

=====

21.
VASP calculation (meta-GGA SCAN) on a crystal of U4Si6Tc7 relaxed with PBEsol.

## Properties
ΔE_f (raw) in eV/atom: -0.53
Total moment in μB per cell: 0.0
DOS(E_F) in states/eV/f.u.: 14.3

Lattice parameters (Å, degrees): 8.1159 8.1159 8.1159 90.00 90.00 90.00
Space group Im-3m (No. 229)
Inequivalent atoms, fractional coordinates:
U 0.2500 0.2500 0.2500
Si 0.0000 0.0000 0.3091
Tc 0.0000 0.0000 0.0000
Tc 0.0000 0.2500 0.5000

=====

22.
VASP calculation (meta-GGA SCAN) on a crystal of SiOs3I relaxed with PBEsol.

## Properties
ΔE_f (raw) in eV/atom: 3.17
Total moment in μB per cell: 0.0
DOS(E_F) in states/eV/f.u.: 4.0

Lattice parameters (Å, degrees): 4.7604 4.7604 4.7604 90.00 90.00 90.00
Space group Pm-3m (No. 221)
Inequivalent atoms, fractional coordinates:
Si 0.0000 0.0000 0.0000
Os 0.0000 0.5000 0.5000
I 0.5000 0.5000 0.5000